This record from Alexandria via LeMat-Bulk describes a relaxed structure of Sc4BiAu. The functional is PBE.

Cell lengths 8.151, 8.151, 7.099 Å; angles 101.80, 101.80, 40.55 degrees
Fractional coordinates of all 12 atoms:
Sc1 0.046 0.805 0.566
Sc2 0.195 0.954 0.934
Sc3 0.207 0.464 0.874
Sc4 0.464 0.207 0.374
Sc5 0.536 0.793 0.626
Sc6 0.793 0.536 0.126
Sc7 0.805 0.046 0.066
Sc8 0.954 0.195 0.434
Bi1 0.373 0.627 0.250
Bi2 0.627 0.373 0.750
Au1 0.000 0.500 0.500
Au2 0.500 0.000 0.000

Calculated values
- Energy: -5.751 eV per atom
- Energy of formation from the pure elements: -0.34 eV per atom
- Density of states at the Fermi level: 13.35 states/eV/cell

=====

This record from Alexandria via LeMat-Bulk describes a relaxed structure of Sc3BiAu. The functional is PBE.

Cell lengths 5.181, 5.181, 5.181 Å; angles 90.00, 90.00, 90.00 degrees
Fractional coordinates of all 5 atoms:
Sc1 0.000 0.000 0.500
Sc2 0.000 0.500 0.000
Sc3 0.500 0.000 0.000
Bi1 0.500 0.500 0.500
Au1 0.000 0.000 0.000

Calculated values
- Energy: -5.493 eV per atom
- Energy of formation from the pure elements: -0.26 eV per atom
- Density of states at the Fermi level: 4.64 states/eV/cell